An optimized crystal structure of KMgSe, computed with GGA-PBE.

N(E_F) (states/eV per cell): 6.95
Raw formation energy (eV/atom): -0.13
Total DFT energy (no corrections) (eV per atom): -2.187

The structure in CIF format:
```
data_KMgSe
_chemical_formula_sum 'K4 Mg4 Se4'
_symmetry_space_group_name_H-M 'F -4 3 m'
_symmetry_Int_Tables_number 216
_symmetry_space_group_name_Hall 'F -4 2 3'
_cell_length_a 7.3503
_cell_length_b 7.3503
_cell_length_c 7.3503
_cell_angle_alpha 90.00
_cell_angle_beta 90.00
_cell_angle_gamma 90.00
loop_
_atom_site_label
_atom_site_fract_x
_atom_site_fract_y
_atom_site_fract_z
K1 0.0000 0.0000 0.0000
Mg1 0.2500 0.2500 0.7500
Se1 0.2500 0.2500 0.2500
```


An optimized crystal structure of KCa4Tc, computed with GGA-PBE.

N(E_F) (states/eV per cell): 37.95
Calculated formation energy (eV/atom): 0.922
Total DFT energy (no corrections) (eV per atom): -2.323

The structure in CIF format:
```
data_KCa4Tc
_chemical_formula_sum 'K4 Ca16 Tc4'
_symmetry_space_group_name_H-M 'F -4 3 m'
_symmetry_Int_Tables_number 216
_symmetry_space_group_name_Hall 'F -4 2 3'
_cell_length_a 9.8987
_cell_length_b 9.8987
_cell_length_c 9.8987
_cell_angle_alpha 90.00
_cell_angle_beta 90.00
_cell_angle_gamma 90.00
loop_
_atom_site_label
_atom_site_fract_x
_atom_site_fract_y
_atom_site_fract_z
K1 0.0000 0.0000 0.0000
Ca1 0.1235 0.1235 0.3765
Tc1 0.2500 0.2500 0.7500
```


An optimized crystal structure of MgSbBr2, computed with GGA-PBE.

N(E_F) (states/eV per cell): 1.32
Raw formation energy (eV/atom): -0.59
Total DFT energy (no corrections) (eV per atom): -2.859

The structure in CIF format:
```
data_MgSbBr2
_chemical_formula_sum 'Mg2 Sb2 Br4'
_symmetry_space_group_name_H-M 'C 1 2/m 1'
_symmetry_Int_Tables_number 12
_symmetry_space_group_name_Hall '-C 2y'
_cell_length_a 14.0997
_cell_length_b 3.5082
_cell_length_c 5.7031
_cell_angle_alpha 90.00
_cell_angle_beta 101.97
_cell_angle_gamma 90.00
loop_
_atom_site_label
_atom_site_fract_x
_atom_site_fract_y
_atom_site_fract_z
Mg1 0.0000 0.0000 0.0000
Sb1 0.0000 0.5000 0.5000
Br1 0.1380 0.5000 0.1894
```


An optimized crystal structure of BaTeBr2, computed with GGA-PBE.

N(E_F) (states/eV per cell): 2.13
Raw formation energy (eV/atom): -1.12
Total DFT energy (no corrections) (eV per atom): -3.220

The structure in CIF format:
```
data_BaTeBr2
_chemical_formula_sum 'Ba1 Te1 Br2'
_symmetry_space_group_name_H-M 'P 4/m m m'
_symmetry_Int_Tables_number 123
_symmetry_space_group_name_Hall '-P 4 2'
_cell_length_a 3.8480
_cell_length_b 3.8480
_cell_length_c 11.9285
_cell_angle_alpha 90.00
_cell_angle_beta 90.00
_cell_angle_gamma 90.00
loop_
_atom_site_label
_atom_site_fract_x
_atom_site_fract_y
_atom_site_fract_z
Ba1 0.0000 0.0000 0.0000
Te1 0.0000 0.0000 0.5000
Br1 0.5000 0.5000 0.1559
```


An optimized crystal structure of Mg2H3Ir, computed with GGA-PBE.

N(E_F) (states/eV per cell): 1.31
Total DFT energy (no corrections) (eV per atom): -4.017

The structure in CIF format:
```
data_Mg2H3Ir
_chemical_formula_sum 'Mg4 H6 Ir2'
_symmetry_space_group_name_H-M 'C 1 m 1'
_symmetry_Int_Tables_number 8
_symmetry_space_group_name_Hall 'C -2y'
_cell_length_a 9.6022
_cell_length_b 3.1315
_cell_length_c 4.6172
_cell_angle_alpha 90.00
_cell_angle_beta 98.58
_cell_angle_gamma 90.00
loop_
_atom_site_label
_atom_site_fract_x
_atom_site_fract_y
_atom_site_fract_z
Mg1 0.0000 0.0000 0.0000
Mg2 0.2424 0.5000 0.4419
H1 0.1343 0.0000 0.6810
H2 0.3928 0.0000 0.7200
H3 0.3970 0.0000 0.2544
Ir1 0.2714 0.0000 0.9579
```


An optimized crystal structure of Tb2Dy4Er5, computed with GGA-PBE.

N(E_F) (states/eV per cell): 33.58
Calculated formation energy (eV/atom): 0.060
Total DFT energy (no corrections) (eV per atom): -4.529

The structure in CIF format:
```
data_Tb2Dy4Er5
_chemical_formula_sum 'Tb4 Dy8 Er10'
_symmetry_space_group_name_H-M 'C 1 2/m 1'
_symmetry_Int_Tables_number 12
_symmetry_space_group_name_Hall '-C 2y'
_cell_length_a 21.2990
_cell_length_b 3.6251
_cell_length_c 9.1224
_cell_angle_alpha 90.00
_cell_angle_beta 102.56
_cell_angle_gamma 90.00
loop_
_atom_site_label
_atom_site_fract_x
_atom_site_fract_y
_atom_site_fract_z
Tb1 0.1143 0.0000 0.0052
Dy1 0.0277 0.5000 0.2032
Dy2 0.1717 0.0000 0.4175
Er1 0.0000 0.0000 0.5000
Er2 0.1184 0.5000 0.6952
Er3 0.2494 0.5000 0.1707
```


An optimized crystal structure of Zn2Ni2Mo, computed with GGA-PBE.

N(E_F) (states/eV per cell): 8.37
Calculated formation energy (eV/atom): 0.045
Total DFT energy (no corrections) (eV per atom): -4.943

The structure in CIF format:
```
data_Zn2Ni2Mo
_chemical_formula_sum 'Zn4 Ni4 Mo2'
_symmetry_space_group_name_H-M 'P 4/m b m'
_symmetry_Int_Tables_number 127
_symmetry_space_group_name_Hall '-P 4 2ab'
_cell_length_a 7.0454
_cell_length_b 7.0454
_cell_length_c 2.6223
_cell_angle_alpha 90.00
_cell_angle_beta 90.00
_cell_angle_gamma 90.00
loop_
_atom_site_label
_atom_site_fract_x
_atom_site_fract_y
_atom_site_fract_z
Zn1 0.1713 0.3287 0.0000
Ni1 0.1254 0.6254 0.5000
Mo1 0.0000 0.0000 0.5000
```


An optimized crystal structure of LaHoSc4, computed with GGA-PBE.

N(E_F) (states/eV per cell): 39.04
Calculated formation energy (eV/atom): 0.071
Total DFT energy (no corrections) (eV per atom): -5.734

The structure in CIF format:
```
data_LaHoSc4
_chemical_formula_sum 'La4 Ho4 Sc16'
_symmetry_space_group_name_H-M 'C m c m'
_symmetry_Int_Tables_number 63
_symmetry_space_group_name_Hall '-C 2c 2'
_cell_length_a 6.5724
_cell_length_b 18.6183
_cell_length_c 5.3707
_cell_angle_alpha 90.00
_cell_angle_beta 90.00
_cell_angle_gamma 90.00
loop_
_atom_site_label
_atom_site_fract_x
_atom_site_fract_y
_atom_site_fract_z
La1 0.0000 0.1233 0.2500
Ho1 0.0000 0.3731 0.7500
Sc1 0.2448 0.4582 0.2500
Sc2 0.2484 0.2915 0.2500
```


An optimized crystal structure of PaZnAu, computed with GGA-PBE.

N(E_F) (states/eV per cell): 11.88
Calculated formation energy (eV/atom): -0.246
Total DFT energy (no corrections) (eV per atom): -4.929

The structure in CIF format:
```
data_PaZnAu
_chemical_formula_sum 'Pa4 Zn4 Au4'
_symmetry_space_group_name_H-M 'P n m a'
_symmetry_Int_Tables_number 62
_symmetry_space_group_name_Hall '-P 2ac 2n'
_cell_length_a 7.9524
_cell_length_b 3.6295
_cell_length_c 8.4885
_cell_angle_alpha 90.00
_cell_angle_beta 90.00
_cell_angle_gamma 90.00
loop_
_atom_site_label
_atom_site_fract_x
_atom_site_fract_y
_atom_site_fract_z
Pa1 0.0324 0.2500 0.1324
Zn1 0.1250 0.2500 0.5755
Au1 0.2107 0.7500 0.3568
```


An optimized crystal structure of Y2ScAg, computed with GGA-PBE.

N(E_F) (states/eV per cell): 13.76
Calculated formation energy (eV/atom): 0.156
Total DFT energy (no corrections) (eV per atom): -5.371

The structure in CIF format:
```
data_Y2ScAg
_chemical_formula_sum 'Y8 Sc4 Ag4'
_symmetry_space_group_name_H-M 'I -4 2 d'
_symmetry_Int_Tables_number 122
_symmetry_space_group_name_Hall 'I -4 2bw'
_cell_length_a 8.4293
_cell_length_b 8.4293
_cell_length_c 6.3047
_cell_angle_alpha 90.00
_cell_angle_beta 90.00
_cell_angle_gamma 90.00
loop_
_atom_site_label
_atom_site_fract_x
_atom_site_fract_y
_atom_site_fract_z
Y1 0.2038 0.2500 0.1250
Sc1 0.0000 0.0000 0.5000
Ag1 0.0000 0.0000 0.0000
```


An optimized crystal structure of Cs2ZrSbO6, computed with GGA-PBE.

N(E_F) (states/eV per cell): 29.81
Raw formation energy (eV/atom): -1.80
Total DFT energy (no corrections) (eV per atom): -6.212

The structure in CIF format:
```
data_Cs2ZrSbO6
_chemical_formula_sum 'Cs8 Zr4 Sb4 O24'
_symmetry_space_group_name_H-M 'F m -3 m'
_symmetry_Int_Tables_number 225
_symmetry_space_group_name_Hall '-F 4 2 3'
_cell_length_a 8.4800
_cell_length_b 8.4800
_cell_length_c 8.4800
_cell_angle_alpha 90.00
_cell_angle_beta 90.00
_cell_angle_gamma 90.00
loop_
_atom_site_label
_atom_site_fract_x
_atom_site_fract_y
_atom_site_fract_z
Cs1 0.2500 0.2500 0.2500
Zr1 0.0000 0.0000 0.0000
Sb1 0.0000 0.0000 0.5000
O1 0.0000 0.0000 0.2568
```


An optimized crystal structure of YZnPt2, computed with GGA-PBE.

N(E_F) (states/eV per cell): 1.71
Calculated formation energy (eV/atom): -0.818
Total DFT energy (no corrections) (eV per atom): -5.773

The structure in CIF format:
```
data_YZnPt2
_chemical_formula_sum 'Y2 Zn2 Pt4'
_symmetry_space_group_name_H-M 'C m m m'
_symmetry_Int_Tables_number 65
_symmetry_space_group_name_Hall '-C 2 2'
_cell_length_a 5.9628
_cell_length_b 6.5456
_cell_length_c 3.7138
_cell_angle_alpha 90.00
_cell_angle_beta 90.00
_cell_angle_gamma 90.00
loop_
_atom_site_label
_atom_site_fract_x
_atom_site_fract_y
_atom_site_fract_z
Y1 0.0000 0.0000 0.0000
Zn1 0.0000 0.5000 0.0000
Pt1 0.2500 0.2500 0.5000
```


An optimized crystal structure of Pm4NiPb, computed with GGA-PBE.

N(E_F) (states/eV per cell): 11.98
Calculated formation energy (eV/atom): -0.307
Total DFT energy (no corrections) (eV per atom): -5.056

The structure in CIF format:
```
data_Pm4NiPb
_chemical_formula_sum 'Pm8 Ni2 Pb2'
_symmetry_space_group_name_H-M 'P 1 21/m 1'
_symmetry_Int_Tables_number 11
_symmetry_space_group_name_Hall '-P 2yb'
_cell_length_a 5.8759
_cell_length_b 7.0108
_cell_length_c 8.6797
_cell_angle_alpha 90.00
_cell_angle_beta 101.52
_cell_angle_gamma 90.00
loop_
_atom_site_label
_atom_site_fract_x
_atom_site_fract_y
_atom_site_fract_z
Pm1 0.1162 0.2500 0.0550
Pm2 0.2024 0.7500 0.3686
Pm3 0.3567 0.5059 0.7820
Ni1 0.3439 0.7500 0.0515
Pb1 0.2318 0.2500 0.4318
```


An optimized crystal structure of Na3DyEr2Se6, computed with GGA-PBE.

N(E_F) (states/eV per cell): 0.00
Raw formation energy (eV/atom): -1.71
Total DFT energy (no corrections) (eV per atom): -4.922

The structure in CIF format:
```
data_Na3DyEr2Se6
_chemical_formula_sum 'Na6 Dy2 Er4 Se12'
_symmetry_space_group_name_H-M 'C 1 2/m 1'
_symmetry_Int_Tables_number 12
_symmetry_space_group_name_Hall '-C 2y'
_cell_length_a 7.1423
_cell_length_b 12.3710
_cell_length_c 7.3975
_cell_angle_alpha 90.00
_cell_angle_beta 108.78
_cell_angle_gamma 90.00
loop_
_atom_site_label
_atom_site_fract_x
_atom_site_fract_y
_atom_site_fract_z
Na1 0.0000 0.0000 0.0000
Na2 0.0000 0.3335 0.0000
Dy1 0.0000 0.5000 0.5000
Er1 0.0000 0.1667 0.5000
Se1 0.2408 0.0000 0.7283
Se2 0.2437 0.3324 0.7282
```


An optimized crystal structure of Sm5Bi4Au, computed with GGA-PBE.

N(E_F) (states/eV per cell): 14.89
Calculated formation energy (eV/atom): -0.813
Total DFT energy (no corrections) (eV per atom): -5.053

The structure in CIF format:
```
data_Sm5Bi4Au
_chemical_formula_sum 'Sm10 Bi8 Au2'
_symmetry_space_group_name_H-M 'I 4'
_symmetry_Int_Tables_number 79
_symmetry_space_group_name_Hall 'I 4'
_cell_length_a 10.0858
_cell_length_b 10.0858
_cell_length_c 6.3848
_cell_angle_alpha 90.00
_cell_angle_beta 90.00
_cell_angle_gamma 90.00
loop_
_atom_site_label
_atom_site_fract_x
_atom_site_fract_y
_atom_site_fract_z
Sm1 0.0000 0.0000 0.0000
Sm2 0.1029 0.2969 0.5010
Bi1 0.0968 0.3012 0.0010
Au1 0.0000 0.0000 0.5000
```


An optimized crystal structure of CsErMn2Se4, computed with GGA-PBE.

Raw formation energy (eV/atom): -0.63
Total DFT energy (no corrections) (eV per atom): -5.337

The structure in CIF format:
```
data_CsErMn2Se4
_chemical_formula_sum 'Cs2 Er2 Mn4 Se8'
_symmetry_space_group_name_H-M 'I 2 2 2'
_symmetry_Int_Tables_number 23
_symmetry_space_group_name_Hall 'I 2 2'
_cell_length_a 6.7800
_cell_length_b 8.8089
_cell_length_c 9.5157
_cell_angle_alpha 90.00
_cell_angle_beta 90.00
_cell_angle_gamma 90.00
loop_
_atom_site_label
_atom_site_fract_x
_atom_site_fract_y
_atom_site_fract_z
Cs1 0.0000 0.0000 0.0000
Er1 0.0000 0.0000 0.5000
Mn1 0.0000 0.5000 0.1016
Se1 0.2481 0.1613 0.3294
```


An optimized crystal structure of Li8ZnAu6, computed with GGA-PBE.

N(E_F) (states/eV per cell): 7.48
Calculated formation energy (eV/atom): -0.409
Total DFT energy (no corrections) (eV per atom): -2.826

The structure in CIF format:
```
data_Li8ZnAu6
_chemical_formula_sum 'Li24 Zn3 Au18'
_symmetry_space_group_name_H-M 'R -3'
_symmetry_Int_Tables_number 148
_symmetry_space_group_name_Hall '-R 3'
_cell_length_a 7.6455
_cell_length_b 7.6455
_cell_length_c 16.2173
_cell_angle_alpha 90.00
_cell_angle_beta 90.00
_cell_angle_gamma 120.00
loop_
_atom_site_label
_atom_site_fract_x
_atom_site_fract_y
_atom_site_fract_z
Li1 0.0000 0.0000 0.1650
Li2 0.0041 0.6754 0.6190
Zn1 0.0000 0.0000 0.5000
Au1 0.0020 0.6639 0.4502
```


An optimized crystal structure of KNaCd2Ir, computed with GGA-PBE.

N(E_F) (states/eV per cell): 2.34
Calculated formation energy (eV/atom): 0.128
Total DFT energy (no corrections) (eV per atom): -2.494

The structure in CIF format:
```
data_KNaCd2Ir
_chemical_formula_sum 'K1 Na1 Cd2 Ir1'
_symmetry_space_group_name_H-M 'P 4/m m m'
_symmetry_Int_Tables_number 123
_symmetry_space_group_name_Hall '-P 4 2'
_cell_length_a 5.2772
_cell_length_b 5.2772
_cell_length_c 5.4803
_cell_angle_alpha 90.00
_cell_angle_beta 90.00
_cell_angle_gamma 90.00
loop_
_atom_site_label
_atom_site_fract_x
_atom_site_fract_y
_atom_site_fract_z
K1 0.0000 0.0000 0.0000
Na1 0.5000 0.5000 0.0000
Cd1 0.0000 0.5000 0.5000
Ir1 0.5000 0.5000 0.5000
```


An optimized crystal structure of Zr2Mo, computed with GGA-PBE.

N(E_F) (states/eV per cell): 17.93
Calculated formation energy (eV/atom): 0.124
Total DFT energy (no corrections) (eV per atom): -9.186

The structure in CIF format:
```
data_Zr2Mo
_chemical_formula_sum 'Zr8 Mo4'
_symmetry_space_group_name_H-M 'I 4/m c m'
_symmetry_Int_Tables_number 140
_symmetry_space_group_name_Hall '-I 4 2c'
_cell_length_a 6.8295
_cell_length_b 6.8295
_cell_length_c 5.4705
_cell_angle_alpha 90.00
_cell_angle_beta 90.00
_cell_angle_gamma 90.00
loop_
_atom_site_label
_atom_site_fract_x
_atom_site_fract_y
_atom_site_fract_z
Zr1 0.1640 0.3360 0.0000
Mo1 0.0000 0.0000 0.2500
```


An optimized crystal structure of PbI2OF, computed with GGA-PBE.

N(E_F) (states/eV per cell): 5.39
Raw formation energy (eV/atom): 0.24
Total DFT energy (no corrections) (eV per atom): -2.483

The structure in CIF format:
```
data_PbI2OF
_chemical_formula_sum 'Pb1 I2 O1 F1'
_symmetry_space_group_name_H-M 'P 4/m m m'
_symmetry_Int_Tables_number 123
_symmetry_space_group_name_Hall '-P 4 2'
_cell_length_a 4.9507
_cell_length_b 4.9507
_cell_length_c 4.8395
_cell_angle_alpha 90.00
_cell_angle_beta 90.00
_cell_angle_gamma 90.00
loop_
_atom_site_label
_atom_site_fract_x
_atom_site_fract_y
_atom_site_fract_z
Pb1 0.0000 0.0000 0.0000
I1 0.0000 0.5000 0.5000
O1 0.5000 0.5000 0.0000
F1 0.5000 0.5000 0.5000
```